The following is a DFT calculation (GGA-PBE) of crystalline TaBeH3 at its relaxed geometry.

Cell: 3.523 3.523 3.523 Å, 90.00 90.00 90.00°
Sites, in units of the cell vectors:
Be1 0.500 0.500 0.500
H1 0.000 0.500 0.000
H2 0.000 0.000 0.500
H3 0.500 0.000 0.000
Ta1 0.000 0.000 0.000

Calculated values
**Theoretical density**: 7.3 Mg/m³
**Distance to the lowest polymorph of the same formula**: 41.2 kJ per mole of atoms
**VASP energy**: -4.65 eV per atom
**Total magnetic moment**: 0.00 μB/atom